(1)
# KLiTcBr6

A relaxed KLiTcBr6 crystal (PBE, Alexandria).

Structure (extended XYZ):
```
18
Lattice="-3.615 -5.868 0.430 5.101 0.582 -4.618 9.453 -5.106 9.796" Properties=species:S:1:pos:R:3 pbc="T T T"
Br 7.991 -3.221 4.612
Br 0.146 -2.976 1.520
Br 1.110 -5.549 3.614
Br 9.828 -4.843 1.994
Br 7.167 -6.578 3.657
Br 2.249 -4.167 -1.130
Br 10.792 -7.415 4.088
Br 3.771 -3.813 1.951
Br -0.304 -6.290 0.227
Br 2.947 -7.170 0.996
Br 8.690 -6.224 6.738
Br 11.242 -4.101 5.381
Li 4.559 -2.844 -0.486
Li 6.380 -7.547 6.094
Tc 9.285 -5.397 4.412
Tc 1.653 -4.994 1.196
K 4.726 -2.553 4.898
K 0.000 0.000 0.000
```

VASP energy in eV per atom: -3.549
SG: No. 163

(2)
# K2LiTcBr6

A relaxed K2LiTcBr6 crystal (PBE, Alexandria).

Structure (extended XYZ):
```
20
Lattice="-2.490 7.025 -0.033 -7.304 1.361 -0.584 -4.327 2.477 12.347" Properties=species:S:1:pos:R:3 pbc="T T T"
Br -7.066 7.495 10.738
Br -7.564 3.330 7.257
Br -9.552 4.570 10.453
Br -8.908 4.769 4.205
Br -4.570 6.294 1.278
Br -8.780 6.759 7.241
Br -5.214 6.094 7.526
Br -7.056 3.368 0.993
Br -6.558 7.534 4.474
Br -5.342 4.104 4.490
Br -8.343 6.997 0.976
Br -5.779 3.867 10.754
Li -6.806 5.508 2.848
Li -7.316 5.355 8.883
Tc 0.000 0.000 0.000
Tc -7.061 5.432 5.865
K -10.191 8.267 4.069
K -3.931 2.596 7.662
K -3.367 2.765 0.996
K -10.755 8.098 10.734
```

VASP energy in eV per atom: -3.548
N(E_F) in states/eV/cell: 10.91
SG: No. 166

(3)
# KLi2TcBr8

A relaxed KLi2TcBr8 crystal (PBE, Alexandria).

Structure (extended XYZ):
```
12
Lattice="-0.323 -6.117 -2.525 -1.192 -1.904 5.539 -8.927 1.071 -1.470" Properties=species:S:1:pos:R:3 pbc="T T T"
Tc 0.000 0.000 0.000
Li -2.702 -3.770 1.196
Li -7.741 -3.180 0.348
Br -5.526 -4.056 2.094
Br -4.916 -2.894 -0.550
Br -2.311 -5.425 -1.138
Br -8.132 -1.526 2.682
Br -7.710 -4.801 -2.010
Br -2.733 -2.150 3.554
Br -0.408 -2.475 0.547
Br -10.035 -4.476 0.997
K -4.464 0.536 -0.735
```

VASP energy in eV per atom: -3.272
N(E_F) in states/eV/cell: 1.73
SG: No. 2

(4)
# KLi2ThBr8

A relaxed KLi2ThBr8 crystal (PBE, Alexandria).

Structure (extended XYZ):
```
12
Lattice="7.026 0.021 0.000 0.030 6.094 0.002 0.013 0.021 9.447" Properties=species:S:1:pos:R:3 pbc="T T T"
Th 0.000 0.000 0.000
Br 3.761 4.567 4.724
Br 5.881 1.614 7.378
Br 5.867 1.594 2.067
Br 2.396 1.604 9.447
Br 1.202 4.542 7.383
Br 1.188 4.522 2.072
Br 3.308 1.569 4.726
Br 4.673 4.531 0.003
Li 3.535 3.065 7.260
Li 3.533 3.071 2.190
K 0.006 0.010 4.723
```

VASP energy in eV per atom: -3.599
N(E_F) in states/eV/cell: 1.61
SG: No. 2

(5)
# K2LiTiBr6

A relaxed K2LiTiBr6 crystal (PBE, Alexandria).

Structure (extended XYZ):
```
20
Lattice="7.416 0.000 -0.017 0.000 7.578 0.000 0.041 0.000 10.544" Properties=species:S:1:pos:R:3 pbc="T T T"
K 3.857 4.224 7.901
K 3.600 3.354 2.625
K 7.329 0.435 7.889
K 0.128 7.143 2.638
Br 5.832 6.067 5.636
Br 5.354 2.278 10.154
Br 2.267 5.442 4.918
Br 6.914 3.838 2.539
Br 2.103 5.300 0.373
Br 0.543 3.740 7.987
Br 5.190 2.136 5.609
Br 1.625 1.511 4.891
Br 5.996 5.925 10.181
Br 1.461 1.653 0.346
Br 3.226 7.529 7.819
Br 4.231 0.049 2.707
Li 3.708 0.000 -0.009
Li 0.020 3.789 5.272
Ti 0.000 3.789 0.000
Ti 3.729 0.000 5.263
```

VASP energy in eV per atom: -3.671
N(E_F) in states/eV/cell: 13.18
SG: No. 14

(6)
# KLi2TiBr6

A relaxed KLi2TiBr6 crystal (PBE, Alexandria).

Structure (extended XYZ):
```
10
Lattice="-2.626 4.443 -4.848 0.930 -1.346 -6.888 -6.139 -2.382 -3.982" Properties=species:S:1:pos:R:3 pbc="T T T"
Ti -0.654 0.969 -3.911
Li -6.045 -2.328 -3.975
Li -3.632 0.528 -7.852
Br -6.462 1.170 -7.697
Br -2.656 1.607 -5.488
Br -4.943 -1.272 -9.730
Br -4.819 -1.585 -6.208
Br -1.238 -0.609 -8.669
Br -3.351 2.873 -9.368
K -4.900 1.136 -11.785
```

VASP energy in eV per atom: -3.673
N(E_F) in states/eV/cell: 6.70
SG: No. 1

(7)
# K3LiTl4Br8

A relaxed K3LiTl4Br8 crystal (PBE, Alexandria).

Structure (extended XYZ):
```
16
Lattice="9.287 0.000 0.000 0.000 9.360 0.045 -4.644 -4.639 6.622" Properties=species:S:1:pos:R:3 pbc="T T T"
Br 0.000 0.068 3.353
Br 4.644 0.064 3.357
Br -2.541 2.131 6.628
Br 2.541 2.131 6.628
Br 2.103 2.591 0.039
Br 0.000 4.658 3.309
Br 4.644 4.653 3.314
Br 7.184 2.591 0.039
Tl 0.000 0.000 0.000
Tl 4.644 0.000 0.000
Tl -2.322 -2.319 3.311
Tl 2.322 -2.319 3.311
Li 0.000 4.680 0.022
K 2.322 2.361 3.333
K -2.322 2.361 3.333
K 4.644 4.680 0.022
```

VASP energy in eV per atom: -2.999
N(E_F) in states/eV/cell: 0.00
SG: No. 12

(8)
# K3LiTl3Br8

A relaxed K3LiTl3Br8 crystal (PBE, Alexandria).

Structure (extended XYZ):
```
15
Lattice="-3.978 7.375 4.281 2.443 -7.574 4.976 6.330 5.480 -3.559" Properties=species:S:1:pos:R:3 pbc="T T T"
Br 4.765 2.263 0.529
Br 0.030 3.018 5.170
Br 3.342 -4.451 4.885
Br 1.833 -0.561 2.669
Br 1.077 -0.251 7.323
Br 2.962 5.842 3.029
Br 1.453 9.732 0.814
Br 3.718 5.532 -1.624
Tl 0.000 0.000 0.000
Tl -0.767 -0.100 4.629
Tl 1.221 -3.787 2.488
K 1.176 6.427 0.361
K 2.398 2.640 2.849
K 4.386 -1.047 0.709
Li 3.165 2.740 -1.779
```

VASP energy in eV per atom: -2.914
N(E_F) in states/eV/cell: 13.18
SG: No. 12

(9)
# K2LiTl3Br6

A relaxed K2LiTl3Br6 crystal (PBE, Alexandria).

Structure (extended XYZ):
```
12
Lattice="7.966 0.036 -0.005 -3.950 6.917 -0.005 -1.344 -2.326 7.595" Properties=species:S:1:pos:R:3 pbc="T T T"
Br -0.090 -0.157 5.732
Br -1.166 2.026 1.648
Br 2.338 0.002 1.648
Br 0.334 4.624 5.938
Br 3.838 2.601 5.938
Br 2.763 4.783 1.854
K 0.037 4.615 -0.005
K 3.979 2.339 -0.005
Tl 5.265 0.044 3.793
Tl -2.593 4.583 3.793
Tl 1.336 2.313 3.793
Li 0.000 0.000 0.000
```

VASP energy in eV per atom: -3.010
N(E_F) in states/eV/cell: 0.00
SG: No. 12

(10)
# KLiTlBr3

A relaxed KLiTlBr3 crystal (PBE, Alexandria).

Structure (extended XYZ):
```
12
Lattice="-2.170 3.110 2.318 -8.340 -5.421 -0.533 3.292 -4.045 8.507" Properties=species:S:1:pos:R:3 pbc="T T T"
K -1.198 -0.805 2.090
K -6.020 -5.550 8.203
Li -7.885 -4.257 4.723
Li 0.667 -2.098 5.569
Br -1.383 -0.530 5.807
Br -2.827 -6.000 7.534
Br -5.834 -5.825 4.486
Br -8.570 -3.148 2.594
Br 1.352 -3.207 7.698
Br -4.391 -0.355 2.758
Tl -5.254 -3.358 1.718
Tl -1.964 -2.997 8.575
```

VASP energy in eV per atom: -3.099
N(E_F) in states/eV/cell: 0.00
SG: No. 11